PmFe2PbO5, relaxed, DFT GGA+U; space-group type = No. 123; crystal system = tetragonal; uncorrected energy = -6.7675 eV per atom
1.0
-2.611 2.614 -1.466
-2.986 -2.104 1.568
0.492 4.116 6.462
Pm Fe Pb O
1 2 1 5
direct
0.000 0.000 0.000
0.500 0.500 0.238
0.500 0.500 0.762
0.000 0.000 0.500
0.000 0.500 0.192
0.500 0.000 0.192
0.000 0.500 0.808
0.500 0.000 0.808
0.500 0.500 0.500